Computed, not measured: an optimized crystal structure of VGeSb2O at the GGA+U level of DFT.

Unit cell a=5.274 b=4.921 c=5.274 alpha=90.00 beta=90.00 gamma=90.00
Each line ends with the local moment (μB).
Positions (direct):
O: 0.500 0.500 0.500  0.85
Ge: 0.000 0.000 0.000  -0.05
V: 0.000 0.500 0.000  0.71
Sb: 0.000 0.000 0.500  0.02
Sb: 0.500 0.000 0.000  0.01

Computed properties:
For the density of states at the Fermi level, the calculation gives 3.9 states/eV per cell. The final energy comes out at -3.69 eV/atom. The calculation puts the total moment at 1.8 Bohr magnetons per cell.